Entry 1:
{"formula": "Sm7Tl2Sb2", "functional": "PBE-GGA", "state": "optimized geometry", "raw_formation_energy_mev_per_atom": -217, "vol_a3_per_cell": 380, "e_tot_ev_per_cell": -48.396, "sg": "No. 65", "lattice": [[-2.112, -2.597, 6.545], [6.798, -0.045, 2.177], [-0.381, 7.218, 1.340]], "species": ["Sm", "Sm", "Sm", "Sm", "Sm", "Sm", "Sm", "Tl", "Tl", "Sb", "Sb"], "fractional_positions": [[0.000, 0.275, 0.500], [0.500, 0.725, 0.000], [0.000, 0.725, 0.500], [0.500, 0.275, 0.000], [0.000, 0.000, 0.000], [0.500, 0.738, 0.500], [0.500, 0.262, 0.500], [0.724, 0.000, 0.276], [0.276, 0.000, 0.724], [0.799, 0.500, 0.799], [0.201, 0.500, 0.201]]}



Entry 2:
{"formula": "SmTl2Sb", "functional": "PBE-GGA", "state": "optimized geometry", "raw_formation_energy_mev_per_atom": 132, "vol_a3_per_cell": 128, "e_tot_ev_per_cell": -13.046, "sg": "No. 166", "lattice": [[3.583, 0.000, 0.000], [1.791, 3.103, 0.000], [1.791, 1.034, 11.551]], "species": ["Sb", "Tl", "Tl", "Sm"], "fractional_positions": [[0.500, 0.500, 0.500], [0.092, 0.092, 0.723], [0.908, 0.908, 0.277], [0.000, 0.000, 0.000]]}



Entry 3:
{"formula": "SmTlSb2", "functional": "PBE-GGA", "state": "optimized geometry", "raw_formation_energy_mev_per_atom": -519, "vol_a3_per_cell": 118, "e_tot_ev_per_cell": -17.407, "sg": "No. 123", "lattice": [[-0.812, 1.415, -3.875], [-3.302, -2.590, -0.254], [-3.910, 4.735, 2.548]], "species": ["Sb", "Sb", "Tl", "Sm"], "fractional_positions": [[0.000, 0.000, 0.776], [0.000, 0.000, 0.224], [0.500, 0.500, 0.500], [0.500, 0.500, 0.000]]}



Entry 4:
{"formula": "Sm6Tl5Sb", "functional": "PBE-GGA", "state": "optimized geometry", "raw_formation_energy_mev_per_atom": -460, "vol_a3_per_cell": 345, "e_tot_ev_per_cell": -49.783, "sg": "No. 65", "lattice": [[9.821, -0.183, 0.000], [2.875, 4.381, 0.000], [1.438, 2.190, 7.913]], "species": ["Sm", "Sm", "Sm", "Sm", "Sm", "Sm", "Tl", "Tl", "Tl", "Tl", "Tl", "Sb"], "fractional_positions": [[0.748, 0.089, 0.326], [0.252, 0.585, 0.326], [0.243, 0.257, 0.000], [0.757, 0.743, 0.000], [0.748, 0.415, 0.674], [0.252, 0.911, 0.674], [0.500, 0.166, 0.668], [0.000, 0.324, 0.353], [0.500, 0.500, 0.000], [0.000, 0.676, 0.647], [0.500, 0.834, 0.332], [0.000, 0.000, 0.000]]}



Entry 5:
{"formula": "Sm2TlSb", "functional": "PBE-GGA", "state": "optimized geometry", "raw_formation_energy_mev_per_atom": -755, "vol_a3_per_cell": 250, "e_tot_ev_per_cell": -37.896, "sg": "No. 63", "lattice": [[-0.752, 2.457, -3.651], [-3.699, -2.487, -0.912], [-5.011, 9.012, 7.096]], "species": ["Sm", "Sm", "Sm", "Sm", "Tl", "Tl", "Sb", "Sb"], "fractional_positions": [[0.750, 0.685, 0.370], [0.250, 0.315, 0.630], [0.750, 0.936, 0.872], [0.250, 0.064, 0.128], [0.250, 0.455, 0.910], [0.750, 0.545, 0.090], [0.250, 0.188, 0.377], [0.750, 0.812, 0.623]]}



Entry 6:
{"formula": "Sm2TlSb", "functional": "PBE-GGA", "state": "optimized geometry", "raw_formation_energy_mev_per_atom": -689, "vol_a3_per_cell": 128, "e_tot_ev_per_cell": -18.684, "sg": "No. 166", "lattice": [[4.282, 0.000, 0.000], [2.141, 3.708, 0.000], [2.141, 1.236, 8.060]], "species": ["Sb", "Tl", "Sm", "Sm"], "fractional_positions": [[0.000, 0.000, 0.000], [0.500, 0.500, 0.500], [0.256, 0.256, 0.231], [0.744, 0.744, 0.769]]}